Below is a geometry-optimized Y2MnRuAu structure, with properties calculated at the PBE level.

abc: 5.400 5.400 4.764
angles: 90.00 90.00 90.00
Space group P4/mmm (No. 123)
Asymmetric unit:
Y: 0.000 0.500 0.000 (multiplicity 2)
Mn: 0.000 0.000 0.500 (multiplicity 1)
Ru: 0.500 0.500 0.500 (multiplicity 1)
Au: 0.000 0.000 0.000 (multiplicity 1)

- Energy of formation: 3.549 eV per formula unit

Below is a geometry-optimized Dy3CdOs structure, with properties calculated at the PBE level.

abc: 6.503 9.714 16.135
angles: 90.00 90.00 90.00
Space group Fmmm (No. 69)
Asymmetric unit:
Dy: 0.000 0.000 0.201 (multiplicity 8)
Dy: 0.000 0.190 0.389 (multiplicity 16)
Cd: 0.208 0.000 0.000 (multiplicity 8)
Os: 0.250 0.250 0.250 (multiplicity 8)

- Offset from the most stable computed form: 0 meV/atom
- Energy of formation: -1.479 eV per formula unit

Below is a geometry-optimized Pr3TePb2 structure, with properties calculated at the PBE level.

abc: 4.534 6.490 13.912
angles: 90.00 90.00 90.00
Space group Immm (No. 71)
Asymmetric unit:
Pr: 0.000 0.000 0.000 (multiplicity 2)
Pr: 0.000 0.000 0.335 (multiplicity 4)
Te: 0.000 0.500 0.000 (multiplicity 2)
Pb: 0.000 0.500 0.335 (multiplicity 4)

- ΔE_f (raw): -857 meV per atom

Below is a geometry-optimized Ni8Sn3Au2 structure, with properties calculated at the PBE level.

abc: 4.8565 4.8565 28.8094
angles: 90.00 90.00 120.00
Space group R-3m (No. 166, hexagonal axes)
Asymmetric unit:
Ni: 0.0000 0.0000 0.2282 (multiplicity 6)
Ni: 0.0028 0.5014 0.2720 (multiplicity 18)
Sn: 0.0000 0.0000 0.3140 (multiplicity 6)
Sn: 0.0000 0.0000 0.5000 (multiplicity 3)
Au: 0.0000 0.0000 0.1376 (multiplicity 6)

- Energy of formation: 1.260 eV per formula unit

Below is a geometry-optimized Zn2InSb structure, with properties calculated at the PBE level.

abc: 4.308 4.489 4.861
angles: 90.00 103.25 90.00
Space group Pm (No. 6)
Asymmetric unit:
Zn: 0.000 0.000 0.000 (multiplicity 1)
Zn: 0.145 0.500 0.793 (multiplicity 1)
In: 0.728 0.500 0.236 (multiplicity 1)
Sb: 0.395 0.000 0.572 (multiplicity 1)

- Offset from the most stable computed form: 7 meV/atom
- ΔE_f (raw): 98 meV per atom

Below is a geometry-optimized BaZnSnRh structure, with properties calculated at the PBE level.

abc: 4.5184 4.5184 18.0682
angles: 90.00 90.00 120.00
Space group R3m (No. 160, hexagonal axes)
Asymmetric unit:
Ba: 0.0000 0.0000 0.0000 (multiplicity 3)
Zn: 0.0000 0.0000 0.4650 (multiplicity 3)
Sn: 0.0000 0.0000 0.1937 (multiplicity 3)
Rh: 0.0000 0.0000 0.8064 (multiplicity 3)

- Energy of formation: -1.844 eV per formula unit

Calculated values (μB/cell) of magnetic moment for the records, taken in order: 3.5; 0.0; 0.0; 0.0; 0.0; 0.0.
Calculated values (eV per atom) of raw total energy for the records, taken in order: -6.220; -5.486; -5.007; -4.889; -2.254; -4.099.